[1]
Compound: MnTc3O12
Source: Alexandria via LeMat-Bulk
Functional: PBE with a Hubbard U
Structure: relaxed

Cell lengths 9.386, 9.386, 9.386 Å; angles 63.90, 63.90, 63.90 degrees
Atoms (fractional coordinates):
1 Mn 0.000 0.000 0.000
2 Mn 0.500 0.500 0.500
3 Tc 0.180 0.837 0.344
4 Tc 0.337 0.680 0.844
5 Tc 0.344 0.180 0.837
6 Tc 0.680 0.844 0.337
7 Tc 0.837 0.344 0.180
8 Tc 0.844 0.337 0.680
9 O 0.015 0.386 0.525
10 O 0.025 0.886 0.515
11 O 0.096 0.867 0.192
12 O 0.128 0.808 0.904
13 O 0.192 0.096 0.867
14 O 0.259 0.299 0.967
15 O 0.299 0.967 0.259
16 O 0.308 0.628 0.404
17 O 0.367 0.596 0.692
18 O 0.386 0.525 0.015
19 O 0.404 0.308 0.628
20 O 0.467 0.799 0.759
21 O 0.515 0.025 0.886
22 O 0.525 0.015 0.386
23 O 0.596 0.692 0.367
24 O 0.628 0.404 0.308
25 O 0.692 0.367 0.596
26 O 0.759 0.467 0.799
27 O 0.799 0.759 0.467
28 O 0.808 0.904 0.128
29 O 0.867 0.192 0.096
30 O 0.886 0.515 0.025
31 O 0.904 0.128 0.808
32 O 0.967 0.259 0.299

Results
* density of states at the Fermi level: 0.34 states/eV/atom
* total magnetic moment: 4.0 μB/f.u.
* uncorrected energy: -7.451 eV per atom
* ρ: 2.8 g cm⁻³

***

[2]
Compound: MnTcO2
Source: Alexandria via LeMat-Bulk
Functional: PBE with a Hubbard U
Structure: relaxed

Cell lengths 5.663, 5.663, 5.663 Å; angles 132.48, 132.48, 69.47 degrees
Atoms (fractional coordinates):
1 Mn 0.000 0.000 0.000
2 Mn 0.750 0.250 0.500
3 Tc 0.250 0.750 0.500
4 Tc 0.500 0.500 0.000
5 O 0.108 0.625 0.983
6 O 0.375 0.358 0.483
7 O 0.642 0.125 0.017
8 O 0.875 0.892 0.517

Results
* density of states at the Fermi level: 0.85 states/eV/atom
* total magnetic moment: 1.2 μB/f.u.
* ΔE to the lowest computed polymorph: 1055 meV per atom
* ρ: 6.3 g cm⁻³